First-principles (GGA-PBE) data for an optimized crystal structure of BSbMo2Pt, as listed in the Alexandria database.

Computed properties:
E above lowest polymorph in meV/atom: 329
E_tot in eV/atom: -5.1814
V in Å³/f.u.: 127.6
D(E_F) in states/eV/cell: 5.8
Calculated density in Mg/m³: 6.8
Energy relative to the elements, uncorrected in eV per atom: 2.52
Total magnetic moment in μB per atom: 1.078

```
BSbMo2Pt
1.0
5.120 0.000 0.000
0.000 5.120 0.000
0.000 0.000 4.867
B Sb Mo Pt
1 1 2 1
direct
0.000 0.000 0.000
0.500 0.500 0.500
0.000 0.500 0.500
0.500 0.000 0.500
0.500 0.500 0.000
```